Entry 1:
Computed, not measured: crystalline Zn2MoIr at its relaxed geometry at the PBE level of DFT.

Output
Distance to the lowest polymorph of the same formula, eV/atom: 0.225
Calculated formation energy, eV/f.u.: 0.3
Raw total energy, Ha/atom: -0.202
DOS at the Fermi energy, states/eV/f.u.: 1.82
Space group: Cmm2, No. 35

```
Zn2MoIr
1.0
2.929 0.000 0.000
0.000 4.604 0.000
0.000 0.000 8.962
Zn Mo Ir
4 2 2
Cartesian
0.000 0.000 0.000
0.000 2.302 2.226
1.464 0.000 2.226
1.464 2.302 0.000
0.000 2.302 6.663
1.464 0.000 6.663
0.000 0.000 4.460
1.464 2.302 4.460
```

Entry 2:
Computed, not measured: crystalline Zn2MoIr at its relaxed geometry at the PBE level of DFT.

Output
Distance to the lowest polymorph of the same formula, eV/atom: 0.299
Calculated formation energy, eV/f.u.: 0.6
Raw total energy, Ha/atom: -0.199
DOS at the Fermi energy, states/eV/f.u.: 3.30
Space group: Fm-3m, No. 225

```
Zn2MoIr
1.0
6.142 0.000 0.000
0.000 6.142 0.000
0.000 0.000 6.142
Zn Mo Ir
8 4 4
Cartesian
1.536 1.536 1.536
1.536 1.536 4.607
1.536 4.607 1.536
1.536 4.607 4.607
4.607 1.536 1.536
4.607 1.536 4.607
4.607 4.607 1.536
4.607 4.607 4.607
0.000 0.000 0.000
0.000 3.071 3.071
3.071 0.000 3.071
3.071 3.071 0.000
0.000 0.000 3.071
0.000 3.071 0.000
3.071 0.000 0.000
3.071 3.071 3.071
```

Entry 3:
Computed, not measured: crystalline ZnMoIr2 at its relaxed geometry at the PBE level of DFT.

Output
Calculated formation energy, eV/f.u.: -0.1
Raw total energy, Ha/atom: -0.275
DOS at the Fermi energy, states/eV/f.u.: 3.62
Space group: R3m, No. 160

```
ZnMoIr2
1.0
2.775 0.000 0.000
-1.387 2.403 0.000
0.000 0.000 26.762
Zn Mo Ir
3 3 6
Cartesian
0.000 0.000 0.000
0.000 1.602 17.841
1.387 0.801 8.921
0.000 0.000 20.197
0.000 1.602 11.277
1.387 0.801 2.356
0.000 0.000 6.802
0.000 0.000 13.413
0.000 1.602 4.493
0.000 1.602 24.643
1.387 0.801 15.723
1.387 0.801 22.334
```

Entry 4:
Computed, not measured: crystalline ZnMoIr2 at its relaxed geometry at the PBE level of DFT.

Output
Calculated formation energy, eV/f.u.: 0.2
Raw total energy, Ha/atom: -0.273
DOS at the Fermi energy, states/eV/f.u.: 5.35
Space group: P4/mmm, No. 123

```
ZnMoIr2
1.0
4.570 0.000 0.000
0.000 4.570 0.000
0.000 0.000 2.863
Zn Mo Ir
1 1 2
Cartesian
0.000 0.000 0.000
2.285 2.285 0.000
0.000 2.285 1.432
2.285 0.000 1.432
```

Entry 5:
Computed, not measured: crystalline Zn2MoIr at its relaxed geometry at the PBE level of DFT.

Output
Distance to the lowest polymorph of the same formula, eV/atom: 0.202
Calculated formation energy, eV/f.u.: 0.2
Raw total energy, Ha/atom: -0.203
DOS at the Fermi energy, states/eV/f.u.: 2.64
Space group: Immm, No. 71

```
Zn2MoIr
1.0
2.798 0.000 0.000
0.000 4.701 0.000
0.000 0.000 9.134
Zn Mo Ir
4 2 2
Cartesian
0.000 0.000 2.208
0.000 0.000 6.927
1.399 2.351 2.360
1.399 2.351 6.775
0.000 2.351 0.000
1.399 0.000 4.567
0.000 2.351 4.567
1.399 0.000 0.000
```

Entry 6:
Computed, not measured: crystalline ZnMo2Ir2 at its relaxed geometry at the PBE level of DFT.

Output
Distance to the lowest polymorph of the same formula, eV/atom: 0.102
Calculated formation energy, eV/f.u.: 0.3
Raw total energy, Ha/atom: -0.296
DOS at the Fermi energy, states/eV/f.u.: 2.98
Space group: P4/mbm, No. 127

```
ZnMo2Ir2
1.0
7.724 0.000 0.000
0.000 7.724 0.000
0.000 0.000 2.757
Zn Mo Ir
2 4 4
Cartesian
0.000 0.000 0.000
3.862 3.862 0.000
0.946 2.917 0.000
2.917 6.779 0.000
4.808 0.946 0.000
6.779 4.808 0.000
1.294 5.156 1.378
2.568 1.294 1.378
5.156 6.431 1.378
6.431 2.568 1.378
```

> Among the records above, which one has the highest raw total energy?

number 2